The following is a PBE-GGA calculation of a relaxed InTeMo2 crystal, from Alexandria.

a b c (Å): 4.906 3.192 5.002
angles (deg): 83.71 90.00 90.00
Sites, in units of the cell vectors:
In (0.500, 0.857, 0.738)
Mo (0.000, 0.930, 0.050)
Mo (0.500, 0.365, 0.223)
Te (0.000, 0.349, 0.489)

Values from the calculation:
For the total moment, the calculation gives 0.00 μB per formula unit. The calculation puts the total energy at -0.2353 hartree per atom. The value obtained for the uncorrected formation energy is 187 kJ/mol of formula units.

***

The following is a PBE-GGA calculation of a relaxed InTe2Mo crystal, from Alexandria.

a b c (Å): 8.118 8.118 6.883
angles (deg): 53.86 53.86 90.00
Last column: magnetic moment on the atom in μB.
Sites, in units of the cell vectors:
Mo (0.500, 0.500, 0.000)  2.34
Mo (0.250, 0.750, 0.500)  2.33
Te (0.559, 0.125, 0.250)  -0.06
Te (0.191, 0.625, 0.250)  -0.05
Te (0.375, 0.441, 0.750)  -0.05
Te (0.875, 0.809, 0.750)  -0.05
In (0.000, 0.000, 0.000)  0.03
In (0.750, 0.250, 0.500)  0.02

Values from the calculation:
For the total moment, the calculation gives 2.85 μB per formula unit. The calculation puts the total energy at -0.1713 hartree per atom. The value obtained for the uncorrected formation energy is 117 kJ/mol of formula units.

***

The following is a PBE-GGA calculation of a relaxed InTe2Mo crystal, from Alexandria.

a b c (Å): 4.170 4.170 7.989
angles (deg): 74.96 74.96 59.95
Last column: magnetic moment on the atom in μB.
Sites, in units of the cell vectors:
In (0.750, 0.750, 0.750)  0.00
Mo (0.250, 0.250, 0.250)  2.29
Te (0.983, 0.983, 0.050)  -0.01
Te (0.517, 0.517, 0.450)  -0.01

Values from the calculation:
For the total moment, the calculation gives 2.70 μB per formula unit. The calculation puts the total energy at -0.1792 hartree per atom. The value obtained for the uncorrected formation energy is 33 kJ/mol of formula units.